1.
Density functional theory data (meta-GGA SCAN) for a crystal of Co2NiCl relaxed with PBEsol.

Summary:
mass density	7.62	Mg/m³
uncorrected energy	-14.038	eV per atom
crystal system	orthorhombic
symmetry	No. 44

Lattice parameters (Å, degrees): 4.8048 4.8048 4.8048 147.16 129.13 61.88
Last column: nearest neighbours and their distance in Å.
Element x y z (fractional)
Co: 0.0000 0.0000 0.0000  4 Cl 2.47, 4 Co 2.52-2.72, 2 Ni 2.64
Co: 0.7429 0.2429 0.5000  2 Cl 2.30, 4 Ni 2.48, 2 Co 2.52
Ni: 0.2750 0.7750 0.5000  2 Cl 2.41, 6 Co 2.48-2.64
Cl: 0.5170 0.5170 0.0000  6 Co 2.30-2.47, 2 Ni 2.41

=====

2.
Density functional theory data (meta-GGA SCAN) for a crystal of CoNiSeCl2 relaxed with PBEsol.

Summary:
mass density	4.79	Mg/m³
uncorrected energy	-13.779	eV per atom
crystal system	tetragonal
symmetry	No. 123

Lattice parameters (Å, degrees): 4.2760 4.2760 5.0671 90.00 90.00 90.00
Last column: nearest neighbours and their distance in Å.
Element x y z (fractional)
Co: 0.0000 0.0000 0.0000  4 Cl 2.14
Ni: 0.5000 0.5000 0.5000  4 Se 3.02, 8 Cl 3.32
Se: 0.0000 0.0000 0.5000  2 Co 2.53
Cl: 0.0000 0.5000 0.0000  2 Co 2.14
Cl: 0.5000 0.0000 0.0000  2 Co 2.14

=====

Number 1: E_form (uncorrected) 0.651 eV per atom, DOS at the Fermi energy 0.867 states/eV/atom. Number 2: E_form (uncorrected) 0.123 eV per atom, DOS at the Fermi energy 0.453 states/eV/atom.